Entry 1:
Rb2UPaSe4: optimized geometry, PBE-GGA.

Properties
For the formation energy (no corrections), the calculation gives -970 kJ/mol of formula units. The calculation puts the theoretical density at 6.365 Mg/m³. Its space group is P2/m.

Cell and atoms, written as POSCAR:
```
Rb2UPaSe4
1.0
7.276 0.000 0.000
0.000 4.193 0.000
-2.417 0.000 8.174
Rb U Pa Se
2 1 1 4
direct
0.000 0.000 0.000
0.500 0.500 0.000
0.000 0.500 0.500
0.500 0.000 0.500
0.236 0.000 0.701
0.268 0.500 0.298
0.732 0.500 0.702
0.764 0.000 0.299
```



Entry 2:
RbRh2Pb2: optimized geometry, PBE-GGA.

Properties
The energy of formation from the pure elements is -38.4 meV per atom. The calculation puts the theoretical density at 8.644 Mg/m³. As for the excess energy over the best structure of this formula in the dataset: 0 meV per atom. Its space group is I4/mmm.

Cell and atoms, written as POSCAR:
```
RbRh2Pb2
1.0
-2.250 2.250 6.697
2.250 -2.250 6.697
2.250 2.250 -6.697
Rb Rh Pb
1 2 2
direct
0.000 0.000 0.000
0.250 0.750 0.500
0.750 0.250 0.500
0.361 0.361 0.000
0.639 0.639 0.000
```



Entry 3:
InCu4: optimized geometry, PBE-GGA.

Properties
The energy of formation from the pure elements is 170.4 meV per atom. The calculation puts the theoretical density at 8.096 Mg/m³. Its space group is I4/mmm.

Cell and atoms, written as POSCAR:
```
InCu4
1.0
-1.803 1.803 5.821
1.803 -1.803 5.821
1.803 1.803 -5.821
In Cu
1 4
direct
0.000 0.000 0.000
0.250 0.750 0.500
0.396 0.396 0.000
0.604 0.604 0.000
0.750 0.250 0.500
```



Entry 4:
La2ScCd2: optimized geometry, PBE-GGA.

Properties
The energy of formation from the pure elements is -124.8 meV per atom. The calculation puts the theoretical density at 5.989 Mg/m³. As for the excess energy over the best structure of this formula in the dataset: 0 meV per atom. Its space group is P4/mbm.

Cell and atoms, written as POSCAR:
```
La2ScCd2
1.0
8.747 0.000 0.000
0.000 8.747 0.000
0.000 0.000 3.969
La Sc Cd
4 2 4
direct
0.177 0.323 0.000
0.323 0.823 0.000
0.677 0.177 0.000
0.823 0.677 0.000
0.000 0.000 0.500
0.500 0.500 0.500
0.123 0.623 0.500
0.377 0.123 0.500
0.623 0.877 0.500
0.877 0.377 0.500
```